# 1
Entry from Alexandria via LeMat-Bulk: crystalline Pm8Ir3CI3 at its relaxed geometry (PBE).

total energy = -5.96 eV/atom
V = 474.4 Å³ per cell
formation energy from raw total energies = -0.7304 eV per atom
space-group type = C2/m

Cell lengths 8.2570, 8.2570, 9.3376 Å; angles 116.18, 116.18, 60.00 degrees
Fractional positions:
Pm (0.2139, 0.2139, 0.6723)
Pm (0.2140, 0.7444, 0.6724)
Pm (0.2556, 0.7860, 0.3276)
Pm (0.2712, 0.2712, 0.3129)
Pm (0.7288, 0.7288, 0.6871)
Pm (0.7444, 0.2140, 0.6724)
Pm (0.7860, 0.2556, 0.3276)
Pm (0.7861, 0.7861, 0.3277)
Ir (0.0000, 0.5000, 0.5000)
Ir (0.5000, 0.0000, 0.5000)
Ir (0.5000, 0.5000, 0.5000)
C (0.0000, 0.0000, 0.5000)
I (0.0000, 0.0000, 0.0000)
I (0.0000, 0.5000, 0.0000)
I (0.5000, 0.0000, 0.0000)

=====

# 2
Entry from Alexandria via LeMat-Bulk: crystalline CoRh3Br at its relaxed geometry (PBE).

total energy = -4.84 eV/atom
V = 94.7 Å³ per cell
formation energy from raw total energies = 1.3228 eV per atom
excess energy over the best structure of this formula in the dataset = 0.162 eV/atom
space-group type = Pm-3m

Cell lengths 4.5581, 4.5581, 4.5581 Å; angles 90.00, 90.00, 90.00 degrees
Fractional positions:
Co (0.0000, 0.0000, 0.0000)
Rh (0.0000, 0.5000, 0.5000)
Rh (0.5000, 0.0000, 0.5000)
Rh (0.5000, 0.5000, 0.0000)
Br (0.5000, 0.5000, 0.5000)